Entry 1:
VASP calculation (PBE-GGA) on Ce3Zn3Pt8 after structural relaxation.

Cell: 8.4884 8.4884 8.4884 Å, 152.03 108.12 78.80°
With the nearest neighbours (Å) after each atom.
Atoms (fractional coordinates):
Ce 0.0000 0.0000 0.0000  12 Pt 3.22-3.46, 4 Zn 3.55
Ce 0.2908 0.2908 0.0000  8 Pt 2.98-3.03
Ce 0.7092 0.7092 0.0000  8 Pt 2.98-3.03
Zn 0.2912 0.5000 0.7912  6 Pt 2.62-2.64, 2 Zn 2.92
Zn 0.5000 0.0000 0.5000  4 Pt 2.52
Zn 0.7088 0.5000 0.2088  6 Pt 2.62-2.64, 2 Zn 2.92
Pt 0.0283 0.6608 0.3675  1 Zn 2.64, 4 Pt 2.64-2.89
Pt 0.1827 0.8760 0.3068  3 Zn 2.52-2.62, 2 Pt 2.73
Pt 0.2933 0.6608 0.6325  1 Zn 2.64, 4 Pt 2.64-2.89
Pt 0.4308 0.1240 0.3068  3 Zn 2.52-2.62, 2 Pt 2.73
Pt 0.5692 0.8760 0.6932  3 Zn 2.52-2.62, 2 Pt 2.73
Pt 0.7067 0.3392 0.3675  1 Zn 2.64, 4 Pt 2.64-2.89
Pt 0.8173 0.1240 0.6932  3 Zn 2.52-2.62, 2 Pt 2.73
Pt 0.9717 0.3392 0.6325  1 Zn 2.64, 4 Pt 2.64-2.89

Summary:
Formation enthalpy at 0 K = -10.738 eV/f.u.
VASP energy = -80.688 eV for the cell shown



Entry 2:
VASP calculation (PBE-GGA) on TlSbOs after structural relaxation.

Cell: 8.1608 7.8932 3.1363 Å, 83.57 73.97 22.45°
With the nearest neighbours (Å) after each atom.
Atoms (fractional coordinates):
Tl 0.0000 0.0000 0.0000  2 Os 2.93, 4 Tl 3.14
Sb 0.2873 0.2873 0.7127  2 Os 2.62
Os 0.6559 0.6559 0.3441  2 Sb 2.62, 2 Tl 2.93

Summary:
Energy relative to the lowest polymorph listed for this composition = 280.6 meV per atom
VASP energy = -15.516 eV for the cell shown
Energy relative to the elements, uncorrected = 213 kJ/mol of formula units



Entry 3:
VASP calculation (PBE-GGA) on La2Tb3Y2 after structural relaxation.

Cell: 3.6301 6.2208 10.8653 Å, 95.20 90.04 106.90°
With the nearest neighbours (Å) after each atom.
Atoms (fractional coordinates):
La 0.2146 0.4281 0.3556  3 Y 3.60-3.63, 5 Tb 3.60-3.63, 4 La 3.63-3.66
La 0.7854 0.5719 0.6444  3 Y 3.60-3.63, 5 Tb 3.60-3.63, 4 La 3.63-3.66
Tb 0.3569 0.7149 0.9307  5 Y 3.57-3.61, 5 Tb 3.58-3.63, 2 La 3.63
Tb 0.5000 0.0000 0.5000  6 La 3.60-3.61, 2 Tb 3.63, 4 Y 3.66
Tb 0.6431 0.2851 0.0693  5 Y 3.57-3.61, 5 Tb 3.58-3.63, 2 La 3.63
Y 0.0704 0.1403 0.7896  7 Tb 3.57-3.66, 3 La 3.60-3.63, 2 Y 3.63
Y 0.9296 0.8597 0.2104  7 Tb 3.57-3.66, 3 La 3.60-3.63, 2 Y 3.63

Summary:
Formation enthalpy at 0 K = 0.132 eV/f.u.
Energy relative to the lowest polymorph listed for this composition = 0.0 meV per atom
VASP energy = -36.542 eV for the cell shown



Entry 4:
VASP calculation (PBE-GGA) on Ho3In3AgRu2 after structural relaxation.

Cell: 7.6490 7.6490 3.8716 Å, 90.00 90.00 120.00°
With the nearest neighbours (Å) after each atom.
Atoms (fractional coordinates):
Ho 0.0000 0.4100 0.0000  4 Ru 3.02, 6 In 3.11-3.37, 1 Ag 3.14
Ho 0.4100 0.0000 0.0000  4 Ru 3.02, 6 In 3.11-3.37, 1 Ag 3.14
Ho 0.5900 0.5900 0.0000  4 Ru 3.02, 6 In 3.11-3.37, 1 Ag 3.14
In 0.0000 0.7289 0.5000  2 Ru 2.82, 2 Ag 2.84, 2 Ho 3.11
In 0.2711 0.2711 0.5000  2 Ru 2.82, 2 Ag 2.84, 2 Ho 3.11
In 0.7289 0.0000 0.5000  2 Ru 2.82, 2 Ag 2.84, 2 Ho 3.11
Ag 0.0000 0.0000 0.0000  6 In 2.84, 3 Ho 3.14
Ru 0.3333 0.6667 0.5000  3 In 2.82, 6 Ho 3.02
Ru 0.6667 0.3333 0.5000  3 In 2.82, 6 Ho 3.02

Summary:
Formation enthalpy at 0 K = -3.451 eV/f.u.
VASP energy = -46.803 eV for the cell shown



Entry 5:
VASP calculation (PBE-GGA) on Mn2GaHPd after structural relaxation.

Cell: 3.7264 3.7264 4.1819 Å, 90.00 90.00 90.00°
With the nearest neighbours (Å) after each atom.
Atoms (fractional coordinates):
Mn 0.0000 0.5000 0.0000  2 H 1.86
Mn 0.5000 0.0000 0.0000  2 H 1.86
Ga 0.0000 0.0000 0.5000  2 H 2.09
H 0.0000 0.0000 0.0000  4 Mn 1.86
Pd 0.5000 0.5000 0.5000  4 Ga 2.63, 8 Mn 2.80

Summary:
Energy relative to the lowest polymorph listed for this composition = 93.5 meV per atom
VASP energy = -30.273 eV for the cell shown



Entry 6:
VASP calculation (PBE-GGA) on PrNd2Hg3 after structural relaxation.

Cell: 3.8509 3.8509 11.5365 Å, 90.00 90.00 90.00°
With the nearest neighbours (Å) after each atom.
Atoms (fractional coordinates):
Pr 0.0000 0.0000 0.0000  8 Hg 3.35
Nd 0.0000 0.0000 0.3342  8 Hg 3.32-3.33
Nd 0.0000 0.0000 0.6658  8 Hg 3.32-3.33
Hg 0.5000 0.5000 0.1694  4 Nd 3.32, 4 Pr 3.35
Hg 0.5000 0.5000 0.5000  8 Nd 3.33
Hg 0.5000 0.5000 0.8306  4 Nd 3.32, 4 Pr 3.35

Summary:
Formation enthalpy at 0 K = -2.834 eV/f.u.
VASP energy = -18.054 eV for the cell shown



Entry 7:
VASP calculation (PBE-GGA) on Ga2PbS2 after structural relaxation.

Cell: 8.4364 8.4364 3.6264 Å, 90.00 90.00 90.00°
With the nearest neighbours (Å) after each atom.
Atoms (fractional coordinates):
Ga 0.1019 0.3981 0.0000  2 S 2.31, 1 Ga 2.43
Ga 0.3981 0.8981 0.0000  2 S 2.31, 1 Ga 2.43
Ga 0.6019 0.1019 0.0000  2 S 2.31, 1 Ga 2.43
Ga 0.8981 0.6019 0.0000  2 S 2.31, 1 Ga 2.43
Pb 0.0000 0.0000 0.5000  4 S 3.00
Pb 0.5000 0.5000 0.5000  4 S 3.00
S 0.2216 0.2784 0.5000  2 Ga 2.31
S 0.2784 0.7784 0.5000  2 Ga 2.31
S 0.7216 0.2216 0.5000  2 Ga 2.31
S 0.7784 0.7216 0.5000  2 Ga 2.31

Summary:
VASP energy = -38.164 eV for the cell shown
Energy relative to the elements, uncorrected = -103 kJ/mol of formula units